*A*
## TiBeFe (PBE)

Data for crystalline TiBeFe at its relaxed geometry.

a = 2.946 Å, b = 2.946 Å, c = 7.968 Å
α = 90.00°, β = 90.00°, γ = 90.00°
Space group I4mm (No. 107)
Inequivalent atoms, fractional coordinates:
Ti  0.000  0.000  0.000 x2
Be  0.000  0.000  0.313 x2
Fe  0.000  0.000  0.675 x2

Density = 5.41 g/cm³
Size of the total moment = 0.000 μB/cell

=====

*B*
## TiBeFe (PBE)

Data for crystalline TiBeFe at its relaxed geometry.

a = 4.564 Å, b = 4.755 Å, c = 6.401 Å
α = 90.00°, β = 90.00°, γ = 90.00°
Space group Imma (No. 74)
Inequivalent atoms, fractional coordinates:
Ti  0.000  0.250  0.128 x4
Be  0.250  0.250  0.750 x4
Fe  0.000  0.000  0.500 x4

Density = 5.39 g/cm³
Size of the total moment = 1.481 μB/cell

=====

Which is the most stable structure? *B* is the most stable.

=====

*A*
## TiBeFe3 (PBE)

Data for crystalline TiBeFe3 at its relaxed geometry.

a = 3.910 Å, b = 3.910 Å, c = 3.910 Å
α = 90.00°, β = 90.00°, γ = 90.00°
Space group Pm-3m (No. 221)
Inequivalent atoms, fractional coordinates:
Ti  0.000  0.000  0.000 x1
Be  0.500  0.500  0.500 x1
Fe  0.000  0.500  0.500 x3

Density = 6.24 g/cm³
Size of the total moment = 3.996 μB/cell

=====

*B*
## TiBeFe3 (PBE)

Data for crystalline TiBeFe3 at its relaxed geometry.

a = 4.260 Å, b = 4.260 Å, c = 4.260 Å
α = 90.00°, β = 90.00°, γ = 90.00°
Space group Pm-3m (No. 221)
Inequivalent atoms, fractional coordinates:
Ti  0.000  0.000  0.000 x1
Be  0.500  0.500  0.500 x1
Fe  0.000  0.000  0.500 x3

Density = 4.82 g/cm³
Size of the total moment = 4.714 μB/cell

=====

Which is the most stable structure? *A* is the most stable.